Density functional theory data (PBE with a Hubbard U) for an optimized crystal structure of Li2MoIrO6.

```
data_Li2MoIrO6
_cell_length_a 5.559
_cell_length_b 5.559
_cell_length_c 3.908
_cell_angle_alpha 90.00
_cell_angle_beta 90.00
_cell_angle_gamma 90.00
_space_group_name_H-M_alt 'P 4 m m'
_space_group_IT_number 99
_space_group_name_Hall 'P 4 -2'
loop_
_atom_site_label
_atom_site_fract_x
_atom_site_fract_y
_atom_site_fract_z
Li1 0.000 0.500 0.000
Mo1 0.000 0.000 0.783
Ir1 0.500 0.500 0.827
O1 0.000 0.000 0.324
O2 0.244 0.244 0.839
O3 0.500 0.500 0.327
```

Density functional theory data (PBE with a Hubbard U) for an optimized crystal structure of LiMo2IrO.

```
data_LiMo2IrO
_cell_length_a 4.165
_cell_length_b 4.165
_cell_length_c 4.201
_cell_angle_alpha 90.00
_cell_angle_beta 90.00
_cell_angle_gamma 90.00
_space_group_name_H-M_alt 'P 4/m m m'
_space_group_IT_number 123
_space_group_name_Hall '-P 4 2'
loop_
_atom_site_label
_atom_site_fract_x
_atom_site_fract_y
_atom_site_fract_z
Li1 0.000 0.000 0.000
Mo1 0.000 0.500 0.500
Ir1 0.500 0.500 0.000
O1 0.500 0.500 0.500
```

no.,total energy (eV/atom)
1,-6.308
2,-5.424